1.
Compound: PtSeBr3
Source: Alexandria via LeMat-Bulk
Functional: PBE
Structure: optimized geometry

* density of states at the Fermi level: 10.0 states/eV/f.u.
* total magnetization: 0.69 μB per formula unit
* E_form (uncorrected): 0.8487 eV/atom

Cell: 5.2852 5.2852 5.2852 Å, 90.00 90.00 90.00°
With the nearest neighbours (Å) after each atom.
Atoms (fractional coordinates):
Pt 0.0000 0.0000 0.0000  12 Br 3.74
Se 0.5000 0.5000 0.5000  6 Br 2.64
Br 0.0000 0.5000 0.5000  2 Se 2.64
Br 0.5000 0.0000 0.5000  2 Se 2.64
Br 0.5000 0.5000 0.0000  2 Se 2.64



2.
Compound: PtSeBr2
Source: Alexandria via LeMat-Bulk
Functional: PBE
Structure: optimized geometry

* density of states at the Fermi level: 3.7 states/eV/f.u.
* total magnetization: 0.00 μB per formula unit
* E_form (uncorrected): 0.1150 eV/atom

Cell: 3.5020 3.5020 8.6323 Å, 90.00 90.00 90.00°
With the nearest neighbours (Å) after each atom.
Atoms (fractional coordinates):
Pt 0.0000 0.0000 0.0000  1 Br 2.46, 4 Se 2.63
Se 0.5000 0.5000 0.8991  1 Br 2.43, 4 Pt 2.63
Br 0.0000 0.0000 0.2850  1 Pt 2.46
Br 0.5000 0.5000 0.6177  1 Se 2.43



3.
Compound: PtSeBr2
Source: Alexandria via LeMat-Bulk
Functional: PBE
Structure: optimized geometry

* density of states at the Fermi level: 2.7 states/eV/f.u.
* total magnetization: 0.00 μB per formula unit
* E_form (uncorrected): 0.2567 eV/atom

Cell: 3.1903 3.1903 11.3518 Å, 90.00 90.00 90.00°
With the nearest neighbours (Å) after each atom.
Atoms (fractional coordinates):
Pt 0.0000 0.0000 0.0000  4 Se 2.49
Se 0.5000 0.5000 0.0920  4 Pt 2.49
Br 0.0000 0.0000 0.3825  4 Br 3.19
Br 0.5000 0.5000 0.7410  4 Br 3.19



4.
Compound: PtSeBr2
Source: Alexandria via LeMat-Bulk
Functional: PBE
Structure: optimized geometry

* density of states at the Fermi level: 3.9 states/eV/f.u.
* total magnetization: 0.65 μB per formula unit
* E_form (uncorrected): 0.3658 eV/atom

Cell: 3.6624 3.6624 10.3706 Å, 90.00 90.00 124.76°
With the nearest neighbours (Å) after each atom.
Atoms (fractional coordinates):
Pt 0.0000 0.0000 0.0000  4 Br 2.46
Se 0.0000 0.0000 0.5000  6 Se 3.40-3.66
Br 0.5000 0.5000 0.1715  2 Pt 2.46
Br 0.5000 0.5000 0.8285  2 Pt 2.46



5.
Compound: PtSeBr4
Source: Alexandria via LeMat-Bulk
Functional: PBE
Structure: optimized geometry

* density of states at the Fermi level: 8.2 states/eV/f.u.
* total magnetization: 2.35 μB per formula unit
* E_form (uncorrected): 1.2752 eV/atom

Cell: 6.0606 6.0606 6.0606 Å, 60.00 60.00 60.00°
With the nearest neighbours (Å) after each atom.
Atoms (fractional coordinates):
Pt 0.0000 0.0000 0.0000  12 Br 3.55, 4 Se 3.71
Se 0.7500 0.7500 0.7500  12 Br 3.56, 4 Pt 3.71
Br 0.3743 0.3743 0.3743  6 Br 3.01-3.05
Br 0.3743 0.3743 0.8770  6 Br 3.01-3.05
Br 0.3743 0.8770 0.3743  6 Br 3.01-3.05
Br 0.8770 0.3743 0.3743  6 Br 3.01-3.05



6.
Compound: PtSe2Br
Source: Alexandria via LeMat-Bulk
Functional: PBE
Structure: optimized geometry

* density of states at the Fermi level: 1.4 states/eV/f.u.
* total magnetization: 0.00 μB per formula unit
* E_form (uncorrected): -0.2672 eV/atom

Cell: 8.1472 8.1472 8.1472 Å, 27.72 27.72 27.72°
With the nearest neighbours (Å) after each atom.
Atoms (fractional coordinates):
Pt 0.0000 0.0000 0.0000  6 Se 2.57
Se 0.3859 0.3859 0.3859  3 Pt 2.57, 1 Br 2.68
Se 0.6141 0.6141 0.6141  3 Pt 2.57, 1 Br 2.68
Br 0.5000 0.5000 0.5000  2 Se 2.68



7.
Compound: PtSeBr2
Source: Alexandria via LeMat-Bulk
Functional: PBE
Structure: optimized geometry

* density of states at the Fermi level: 4.6 states/eV/f.u.
* total magnetization: 0.00 μB per formula unit
* E_form (uncorrected): 0.8852 eV/atom

Cell: 5.1137 5.1137 3.2061 Å, 90.00 90.00 90.00°
With the nearest neighbours (Å) after each atom.
Atoms (fractional coordinates):
Pt 0.0000 0.0000 0.0000  8 Br 3.02, 2 Pt 3.21
Se 0.5000 0.5000 0.0000  8 Br 3.02, 2 Se 3.21
Br 0.0000 0.5000 0.5000  4 Se 3.02, 4 Pt 3.02, 2 Br 3.21
Br 0.5000 0.0000 0.5000  4 Se 3.02, 4 Pt 3.02, 2 Br 3.21



8.
Compound: PtSeBr2
Source: Alexandria via LeMat-Bulk
Functional: PBE
Structure: optimized geometry

* density of states at the Fermi level: 3.6 states/eV/f.u.
* total magnetization: 0.00 μB per formula unit
* E_form (uncorrected): 0.4071 eV/atom

Cell: 8.2923 8.2923 8.2923 Å, 27.72 27.72 27.72°
With the nearest neighbours (Å) after each atom.
Atoms (fractional coordinates):
Pt 0.0000 0.0000 0.0000  6 Br 2.69
Se 0.5000 0.5000 0.5000  2 Br 2.57
Br 0.3925 0.3925 0.3925  1 Se 2.57, 3 Pt 2.69
Br 0.6075 0.6075 0.6075  1 Se 2.57, 3 Pt 2.69